Below is NdSmMg2 after structural relaxation, with properties calculated at the PBE level. Values from VASP.

Cell and atoms, written as Quantum ESPRESSO input:
```
&SYSTEM
  ibrav = 0, nat = 4, ntyp = 3
/
ATOMIC_SPECIES
Nd 144.24 Nd.upf
Sm 150.36 Sm.upf
Mg 24.30 Mg.upf
CELL_PARAMETERS angstrom
1.7770 1.0259 10.9841
-1.7770 1.0259 10.9841
0.0000 -2.0519 10.9841
ATOMIC_POSITIONS angstrom
Nd 0.0000 0.0000 0.0000
Sm 0.0000 0.0000 16.4762
Mg 0.0000 0.0000 8.2189
Mg 0.0000 0.0000 24.7335
```

Values from the calculation:
Energy above the most stable polymorph in this dataset (eV per formula unit): 0.62
Density of states at the Fermi level (states/eV per atom): 1.166
Formation energy from the elements (eV/atom): 0.044
Uncorrected energy (eV/atom): -3.13
Total magnetic moment (μB/f.u.): 0.00
ρ (g/cm3): 4.7